[1]
Here is TeMoPd3 at its PBEsol-relaxed geometry from Alexandria via LeMat-Bulk. Energies are from SCAN.

```
TeMoPd3
1.0
4.8211 0.0000 0.0000
0.0000 4.8211 0.0000
0.0000 0.0000 4.8211
Te Mo Pd
1 1 3
Cartesian
0.0000 0.0000 0.0000
2.4106 2.4106 2.4106
0.0000 0.0000 2.4106
0.0000 2.4106 0.0000
2.4106 0.0000 0.0000
```

raw formation energy: 811 meV/atom
energy relative to the lowest polymorph listed for this composition: 0.0000 eV/atom



[2]
Here is Te2MoPd at its PBEsol-relaxed geometry from Alexandria via LeMat-Bulk. Energies are from SCAN.

```
Te2MoPd
1.0
1.6872 0.9741 8.8014
-1.6872 0.9741 8.8014
0.0000 -1.9483 8.8014
Te Mo Pd
2 1 1
Cartesian
0.0000 0.0000 2.5271
0.0000 0.0000 23.8772
0.0000 0.0000 13.2022
0.0000 0.0000 0.0000
```

raw formation energy: 58 meV/atom
energy relative to the lowest polymorph listed for this composition: 0.0000 eV/atom



[3]
Here is TeMoPd3 at its PBEsol-relaxed geometry from Alexandria via LeMat-Bulk. Energies are from SCAN.

```
TeMoPd3
1.0
4.7401 0.0000 0.0000
0.0000 4.7401 0.0000
0.0000 0.0000 4.7401
Te Mo Pd
1 1 3
Cartesian
0.0000 0.0000 0.0000
2.3701 2.3701 2.3701
0.0000 2.3701 2.3701
2.3701 0.0000 2.3701
2.3701 2.3701 0.0000
```

raw formation energy: 1071 meV/atom
energy relative to the lowest polymorph listed for this composition: 0.2600 eV/atom



[4]
Here is Te2MoPd at its PBEsol-relaxed geometry from Alexandria via LeMat-Bulk. Energies are from SCAN.

```
Te2MoPd
1.0
1.6441 0.9492 9.1236
-1.6441 0.9492 9.1236
0.0000 -1.8984 9.1236
Te Mo Pd
2 1 1
Cartesian
0.0000 0.0000 2.5735
0.0000 0.0000 24.7973
0.0000 0.0000 0.0000
0.0000 0.0000 13.6854
```

raw formation energy: 629 meV/atom
energy relative to the lowest polymorph listed for this composition: 0.5705 eV/atom



[5]
Here is PrMo6S8 at its PBEsol-relaxed geometry from Alexandria via LeMat-Bulk. Energies are from SCAN.

```
PrMo6S8
1.0
4.4914 2.5931 3.8149
-4.4914 2.5931 3.8149
0.0000 -5.1862 3.8149
Pr Mo S
1 6 8
Cartesian
0.0000 0.0000 0.0000
-1.5275 -0.1335 4.6037
0.8793 -1.2561 4.6037
-0.6482 -1.3896 6.8411
0.6482 1.3896 4.6037
-0.8793 1.2561 6.8411
1.5275 0.1335 6.8411
-1.1280 -2.5983 4.7875
0.0000 0.0000 2.7867
-2.8142 -0.3223 6.6573
-1.6862 2.2760 4.7875
1.6862 -2.2760 6.6573
2.8142 0.3223 4.7875
0.0000 0.0000 8.6581
1.1280 2.5983 6.6573
```

raw formation energy: -1040 meV/atom



[6]
Here is MoPt at its PBEsol-relaxed geometry from Alexandria via LeMat-Bulk. Energies are from SCAN.

```
MoPt
1.0
4.7736 0.0000 0.0000
0.0000 4.4259 0.0000
0.0000 0.0000 5.6368
Mo Pt
4 4
Cartesian
0.3775 1.1065 0.7029
2.0092 3.3194 3.5213
2.7643 1.1065 2.1155
4.3960 3.3194 4.9339
0.3711 1.1065 3.5217
2.0156 3.3194 0.7033
2.7579 1.1065 4.9334
4.4024 3.3194 2.1151
```

calculated formation energy: -354.0 meV per atom



Which formula does entry 3 have? TeMoPd3